Record 1
{"formula": "HoGa7Co5", "functional": "PBE", "state": "relaxed", "delta_e_f_mev_per_atom": -346, "crystal_system": "orthorhombic", "dft_energy_ha_per_atom": -0.186, "space_group": "Imm2 (44)", "lattice_angstrom": [[-1.465, 3.203, -3.678], [-6.346, 1.405, 0.226], [0.518, 6.253, 1.713]], "species": ["Ho", "Ga", "Ga", "Ga", "Ga", "Ga", "Ga", "Ga", "Co", "Co", "Co", "Co", "Co"], "fractional_positions": [[0.006, 0.994, 0.994], [0.659, 0.341, 0.341], [0.339, 0.661, 0.661], [0.980, 0.360, 0.679], [0.980, 0.679, 0.360], [0.268, 0.232, 0.232], [0.515, 0.785, 0.184], [0.515, 0.184, 0.785], [0.490, 0.006, 0.492], [0.012, 0.006, 0.492], [0.490, 0.492, 0.006], [0.012, 0.492, 0.006], [0.733, 0.767, 0.767]]}


Record 2
{"formula": "Ho2Ga4Co5", "functional": "PBE", "state": "relaxed", "delta_e_f_mev_per_atom": -337, "crystal_system": "orthorhombic", "dft_energy_ha_per_atom": -0.202, "space_group": "Fmmm (69)", "lattice_angstrom": [[-2.403, 2.161, 4.291], [-5.206, -0.281, 0.588], [-0.470, -5.100, 5.668]], "species": ["Ho", "Ho", "Ga", "Ga", "Ga", "Ga", "Co", "Co", "Co", "Co", "Co"], "fractional_positions": [[0.874, 0.000, 0.252], [0.126, 0.000, 0.748], [0.473, 0.315, 0.739], [0.527, 0.685, 0.261], [0.212, 0.315, 0.261], [0.788, 0.685, 0.739], [0.500, 0.000, 0.000], [0.000, 0.500, 0.000], [0.500, 0.500, 0.000], [0.250, 0.500, 0.500], [0.750, 0.500, 0.500]]}


Record 3
{"formula": "Ho2Ga3Co4", "functional": "PBE", "state": "relaxed", "delta_e_f_mev_per_atom": -385, "crystal_system": "orthorhombic", "dft_energy_ha_per_atom": -0.205, "space_group": "Cmce (64)", "lattice_angstrom": [[5.369, 0.000, 0.000], [0.000, 6.891, 0.000], [-2.685, 0.000, 7.457]], "species": ["Ho", "Ho", "Ho", "Ho", "Ga", "Ga", "Ga", "Ga", "Ga", "Ga", "Co", "Co", "Co", "Co", "Co", "Co", "Co", "Co"], "fractional_positions": [[0.104, 0.586, 0.208], [0.896, 0.414, 0.792], [0.396, 0.086, 0.792], [0.604, 0.914, 0.208], [0.000, 0.000, 0.000], [0.500, 0.500, 0.000], [0.515, 0.750, 0.530], [0.985, 0.250, 0.470], [0.485, 0.250, 0.470], [0.015, 0.750, 0.530], [0.678, 0.750, 0.855], [0.822, 0.250, 0.145], [0.322, 0.250, 0.145], [0.178, 0.750, 0.855], [0.170, 0.992, 0.341], [0.830, 0.008, 0.659], [0.330, 0.492, 0.659], [0.670, 0.508, 0.341]]}


Record 4
{"formula": "HoGa9Co2", "functional": "PBE", "state": "relaxed", "delta_e_f_mev_per_atom": -184, "crystal_system": "tetragonal", "dft_energy_ha_per_atom": -0.148, "space_group": "I4_1/amd (141)", "lattice_angstrom": [[5.979, 0.000, 2.752], [2.989, 7.703, 1.376], [-0.232, 0.000, 8.373]], "species": ["Ho", "Ho", "Ga", "Ga", "Ga", "Ga", "Ga", "Ga", "Ga", "Ga", "Ga", "Ga", "Ga", "Ga", "Ga", "Ga", "Ga", "Ga", "Ga", "Ga", "Co", "Co", "Co", "Co"], "fractional_positions": [[0.500, 0.000, 0.000], [0.250, 0.500, 0.500], [0.750, 0.500, 0.500], [0.000, 0.000, 0.000], [0.993, 0.930, 0.691], [0.614, 0.070, 0.309], [0.673, 0.191, 0.570], [0.434, 0.809, 0.430], [0.757, 0.809, 0.570], [0.136, 0.191, 0.430], [0.077, 0.930, 0.309], [0.316, 0.070, 0.691], [0.757, 0.570, 0.809], [0.136, 0.430, 0.191], [0.077, 0.309, 0.930], [0.316, 0.691, 0.070], [0.993, 0.691, 0.930], [0.614, 0.309, 0.070], [0.673, 0.570, 0.191], [0.434, 0.430, 0.809], [0.875, 0.250, 0.750], [0.875, 0.750, 0.250], [0.875, 0.250, 0.250], [0.375, 0.750, 0.750]]}


Record 5
{"formula": "Ho3Ga2Co7", "functional": "PBE", "state": "relaxed", "delta_e_f_mev_per_atom": -318, "crystal_system": "trigonal", "dft_energy_ha_per_atom": -0.225, "space_group": "R-3m (166)", "lattice_angstrom": [[-3.141, 1.360, -3.815], [-0.292, -2.881, -4.229], [-6.912, -4.699, 0.572]], "species": ["Ho", "Ho", "Ho", "Ga", "Ga", "Co", "Co", "Co", "Co", "Co", "Co", "Co"], "fractional_positions": [[0.000, 0.000, 0.000], [0.860, 0.860, 0.420], [0.140, 0.140, 0.580], [0.667, 0.667, 0.000], [0.333, 0.333, 0.000], [0.500, 0.500, 0.500], [0.916, 0.417, 0.251], [0.417, 0.916, 0.251], [0.417, 0.417, 0.251], [0.084, 0.583, 0.749], [0.583, 0.583, 0.749], [0.583, 0.084, 0.749]]}


Record 6
{"formula": "HoGaCo", "functional": "PBE", "state": "relaxed", "delta_e_f_mev_per_atom": -300, "crystal_system": "tetragonal", "dft_energy_ha_per_atom": -0.191, "space_group": "I4mm (107)", "lattice_angstrom": [[3.186, 0.000, 0.000], [0.000, 3.186, 0.000], [-1.593, -1.593, 5.168]], "species": ["Co", "Ho", "Ga"], "fractional_positions": [[0.972, 0.972, 0.945], [0.294, 0.294, 0.589], [0.583, 0.583, 0.166]]}


Record 7
{"formula": "HoGa4Co3", "functional": "PBE", "state": "relaxed", "delta_e_f_mev_per_atom": -110, "crystal_system": "orthorhombic", "dft_energy_ha_per_atom": -0.179, "space_group": "Cmmm (65)", "lattice_angstrom": [[0.604, 4.607, 0.999], [-4.525, -1.451, -0.021], [0.418, -1.394, 6.177]], "species": ["Co", "Co", "Co", "Ho", "Ga", "Ga", "Ga", "Ga"], "fractional_positions": [[0.000, 0.000, 0.000], [0.500, 0.500, 0.181], [0.500, 0.500, 0.819], [0.000, 0.000, 0.500], [0.000, 0.500, 0.207], [0.000, 0.500, 0.793], [0.500, 0.000, 0.793], [0.500, 0.000, 0.207]]}


Record 8
{"formula": "Ho2Ga6Co", "functional": "PBE", "state": "relaxed", "delta_e_f_mev_per_atom": -483, "crystal_system": "trigonal", "e_above_lowest_polymorph_mev_per_atom": 55, "dft_energy_ha_per_atom": -0.158, "space_group": "P-3m1 (164)", "lattice_angstrom": [[-1.163, 5.168, -1.611], [-4.553, -1.966, -3.024], [-5.216, -0.386, 2.526]], "species": ["Ho", "Ho", "Ga", "Ga", "Ga", "Ga", "Ga", "Ga", "Co"], "fractional_positions": [[0.836, 0.666, 0.666], [0.164, 0.334, 0.334], [0.309, 0.346, 0.827], [0.309, 0.827, 0.827], [0.309, 0.827, 0.346], [0.691, 0.654, 0.173], [0.691, 0.173, 0.173], [0.691, 0.173, 0.654], [0.000, 0.000, 0.000]]}